A geometry-optimized LaCrAg structure, computed with GGA-PBE.

Unit cell a=5.833 b=5.833 c=5.833 alpha=143.09 beta=142.48 gamma=53.65
Positions (direct):
La1 0.000 0.000 0.000
Cr1 0.684 0.684 0.000
Ag1 0.307 0.307 0.000


A geometry-optimized LaCrAg structure, computed with GGA-PBE.

Unit cell a=4.838 b=4.838 c=3.611 alpha=90.00 beta=90.00 gamma=120.00
Positions (direct):
La1 0.000 0.000 0.000
Cr1 0.333 0.667 0.501
Ag1 0.667 0.333 0.499


Calculated E above lowest polymorph, 0.17; 0.00 eV per formula unit (same order as the records).
Calculated formation enthalpy at 0 K, 288.1; 232.1 meV per atom (same order as the records).